This record from the Alexandria database describes crystalline La4SnBiN at its relaxed geometry. The functional is PBE.

Structure (extended XYZ):
```
14
Lattice="3.459 -9.001 0.000 3.459 9.001 0.000 0.000 0.000 6.896" Properties=species:S:1:pos:R:3 pbc="T T T"
La 1.729 4.500 0.000
La 1.729 4.500 3.448
La 3.459 7.735 5.172
La 3.459 1.561 5.172
La 1.729 -4.500 0.000
La 1.729 -4.500 3.448
La 3.459 -1.561 1.724
La 3.459 -7.735 1.724
Sn 3.459 6.996 1.724
Sn 3.459 -6.996 5.172
Bi 3.459 1.952 1.724
Bi 3.459 -1.952 5.172
N 3.459 3.935 5.172
N 3.459 -3.935 1.724
```

## Properties
formation energy from raw total energies: -0.963 eV per atom



This record from the Alexandria database describes crystalline Nd4Dy2In at its relaxed geometry. The functional is PBE.

Structure (extended XYZ):
```
14
Lattice="6.217 0.000 0.000 0.000 12.530 0.000 0.000 0.000 6.114" Properties=species:S:1:pos:R:3 pbc="T T T"
Nd 0.000 1.677 0.000
Nd 0.000 4.151 3.057
Nd 0.000 8.379 3.057
Nd 0.000 10.853 0.000
Nd 3.109 2.114 3.057
Nd 3.109 4.588 0.000
Nd 3.109 7.942 0.000
Nd 3.109 10.416 3.057
Dy 0.000 4.791 0.000
Dy 0.000 7.740 0.000
Dy 3.109 1.474 0.000
Dy 3.109 11.056 0.000
In 0.000 0.000 3.057
In 3.109 6.265 3.057
```

## Properties
ΔE to the lowest computed polymorph: 0.481 eV per atom
energy of formation: 388.4 meV/atom



This record from the Alexandria database describes crystalline Mn2CuIr at its relaxed geometry. The functional is PBE.

Structure (extended XYZ):
```
12
Lattice="2.642 0.000 0.000 -1.321 2.288 0.000 0.000 0.000 25.423" Properties=species:S:1:pos:R:3 pbc="T T T"
Mn 0.000 0.000 0.000
Mn 0.000 0.000 6.479
Mn 0.000 1.526 16.949
Mn 0.000 1.526 23.428
Mn 1.321 0.763 8.474
Mn 1.321 0.763 14.953
Cu 0.000 0.000 19.066
Cu 0.000 1.526 10.592
Cu 1.321 0.763 2.117
Ir 0.000 0.000 12.850
Ir 0.000 1.526 4.375
Ir 1.321 0.763 21.324
```

## Properties
energy of formation: 116.1 meV/atom



This record from the Alexandria database describes crystalline NaTeN2O at its relaxed geometry. The functional is PBE.

Structure (extended XYZ):
```
5
Lattice="3.993 0.000 0.000 0.000 3.993 0.000 0.000 0.000 4.074" Properties=species:S:1:pos:R:3 pbc="T T T"
Na 0.000 0.000 0.000
Te 1.997 1.997 2.037
N 0.000 1.997 2.037
N 1.997 0.000 2.037
O 1.997 1.997 0.000
```

## Properties
formation energy from raw total energies: 0.508 eV per atom



This record from the Alexandria database describes crystalline ZrTa2Cl at its relaxed geometry. The functional is PBE.

Structure (extended XYZ):
```
4
Lattice="3.464 0.000 0.000 0.000 3.464 0.000 0.000 0.000 7.022" Properties=species:S:1:pos:R:3 pbc="T T T"
Zr 0.000 0.000 0.000
Ta 1.732 1.732 1.424
Ta 1.732 1.732 5.598
Cl 0.000 0.000 3.511
```

## Properties
ΔE to the lowest computed polymorph: 0.640 eV per atom
formation energy from raw total energies: 0.440 eV per atom



This record from the Alexandria database describes crystalline MnPd3Pt at its relaxed geometry. The functional is PBE.

Structure (extended XYZ):
```
5
Lattice="4.470 0.000 0.000 0.000 4.470 0.000 0.000 0.000 4.470" Properties=species:S:1:pos:R:3 pbc="T T T"
Mn 0.000 0.000 0.000
Pd 0.000 0.000 2.235
Pd 0.000 2.235 0.000
Pd 2.235 0.000 0.000
Pt 2.235 2.235 2.235
```

## Properties
ΔE to the lowest computed polymorph: 1.159 eV per atom
energy of formation: 1027.8 meV/atom



| no. | energy (eV/atom) |
| --- | --- |
| 1 | -6.094 |
| 2 | -4.042 |
| 3 | -7.708 |
| 4 | -4.706 |
| 5 | -8.085 |
| 6 | -5.130 |